No. 1
Ho3TaCl2O6: optimized geometry, GGA-PBE.

Output
The calculation puts the total moment at 0.00 μB/cell. As for the raw formation energy: -2.84 eV/atom.

Cell lengths 11.4423, 6.5147, 5.4975 Å; angles 90.00, 100.75, 90.00 degrees
Space group C2/m (No. 12)
Unique sites:
Ho: 0.0000 0.0000 0.0000
Ho: 0.2500 0.2500 0.5000
Ta: 0.0000 0.5000 0.5000
Cl: 0.2053 0.0000 0.8467
O: 0.0581 0.2629 0.2955
O: 0.1696 0.5000 0.6705

=====

No. 2
LiHgGe: optimized geometry, GGA-PBE.

Output
Its energy above the most stable polymorph in this dataset is 31 meV/atom. The formation energy comes out at -0.1201 eV per atom. The calculation puts the total moment at 0.00 μB/cell.

Cell lengths 6.3135, 12.2173, 3.0223 Å; angles 90.00, 90.00, 90.00 degrees
Space group Cmmm (No. 65)
Unique sites:
Li: 0.0000 0.1072 0.0000
Hg: 0.2500 0.2500 0.5000
Ge: 0.1999 0.5000 0.5000

=====

No. 3
Zr2ZnSi: optimized geometry, GGA-PBE.

Output
The calculation puts the total moment at 0.00 μB/cell. As for the raw formation energy: -0.17 eV/atom.

Cell lengths 3.1997, 3.1997, 26.3763 Å; angles 90.00, 90.00, 120.00 degrees
Space group R-3m (No. 166, hexagonal axes)
Unique sites:
Zr: 0.0000 0.0000 0.2493
Zn: 0.0000 0.0000 0.0000
Si: 0.0000 0.0000 0.5000

=====

No. 4
La4PmPb2: optimized geometry, GGA-PBE.

Output
Its energy above the most stable polymorph in this dataset is 0 meV/atom. The formation energy comes out at -0.3374 eV per atom. The calculation puts the total moment at 0.01 μB/cell.

Cell lengths 9.1784, 10.6601, 5.0251 Å; angles 90.00, 90.00, 90.00 degrees
Space group Cmmm (No. 65)
Unique sites:
La: 0.2117 0.0000 0.0000
La: 0.2500 0.2500 0.5000
Pm: 0.0000 0.5000 0.5000
Pb: 0.0000 0.2806 0.0000

=====

No. 5
Ta2MnW: optimized geometry, GGA-PBE.

Output
The formation energy comes out at -0.0202 eV per atom. The calculation puts the total moment at 0.00 μB/cell.

Cell lengths 3.1473, 3.1473, 6.4139 Å; angles 90.00, 90.00, 90.00 degrees
Space group P4mm (No. 99)
Unique sites:
Ta: 0.0000 0.0000 0.0000
Ta: 0.5000 0.5000 0.2738
Mn: 0.5000 0.5000 0.7604
W: 0.0000 0.0000 0.5331

=====

No. 6
Ac4Ir2Cl: optimized geometry, GGA-PBE.

Output
The calculation puts the total moment at 0.00 μB/cell. As for the raw formation energy: -0.99 eV/atom.

Cell lengths 4.3840, 4.3840, 44.9283 Å; angles 90.00, 90.00, 120.00 degrees
Space group R-3m (No. 166, hexagonal axes)
Unique sites:
Ac: 0.0000 0.0000 0.1228
Ac: 0.0000 0.0000 0.2805
Ir: 0.0000 0.0000 0.4216
Cl: 0.0000 0.0000 0.0000

=====

What is the total moment in the second record?
0.00 μB/cell